First-principles (PBE) data for an optimized crystal structure of Er2ZrZn, as listed in Alexandria via LeMat-Bulk.

Calculated values
Energy relative to the lowest polymorph listed for this composition in meV per atom: 140
Density in g/cm³: 8.6
Size of the total moment in Bohr magnetons per cell: 0.0
Space-group type: P4/mmm
Total DFT energy (no corrections) in eV/atom: -4.7403

a b c (Å): 4.593 4.593 4.508
angles (deg): 90.00 90.00 90.00
Element x y z (fractional)
Er  0.000  0.500  0.000
Er  0.500  0.000  0.000
Zr  0.000  0.000  0.500
Zn  0.500  0.500  0.500

=====

First-principles (PBE) data for an optimized crystal structure of SbRhBr, as listed in Alexandria via LeMat-Bulk.

Calculated values
Energy relative to the lowest polymorph listed for this composition in meV per atom: 0
Density in g/cm³: 7.1
Size of the total moment in Bohr magnetons per cell: 0.0
Space-group type: P2_1/c
Raw formation energy in meV/atom: -282
Total DFT energy (no corrections) in eV/atom: -4.6638

a b c (Å): 7.049 6.367 6.661
angles (deg): 90.00 106.80 90.00
Element x y z (fractional)
Sb  0.123  0.130  0.360
Sb  0.123  0.370  0.860
Sb  0.877  0.630  0.140
Sb  0.877  0.870  0.640
Rh  0.235  0.012  0.749
Rh  0.235  0.488  0.249
Rh  0.765  0.512  0.751
Rh  0.765  0.988  0.251
Br  0.368  0.642  0.645
Br  0.368  0.858  0.145
Br  0.632  0.142  0.855
Br  0.632  0.358  0.355

=====

First-principles (PBE) data for an optimized crystal structure of Ac2PaAs3, as listed in Alexandria via LeMat-Bulk.

Calculated values
Density in g/cm³: 8.5
Size of the total moment in Bohr magnetons per cell: 0.0
Space-group type: C2/m
Total DFT energy (no corrections) in eV/atom: -6.5704

a b c (Å): 7.561 7.561 7.621
angles (deg): 99.54 99.54 119.97
Element x y z (fractional)
Ac  0.000  0.000  0.000
Ac  0.162  0.838  0.500
Ac  0.500  0.500  0.500
Ac  0.838  0.162  0.500
Pa  0.332  0.668  0.000
Pa  0.668  0.332  0.000
As  0.076  0.429  0.227
As  0.279  0.279  0.777
As  0.429  0.076  0.227
As  0.571  0.924  0.773
As  0.721  0.721  0.223
As  0.924  0.571  0.773